A geometry-optimized K4In structure. Source: the Alexandria database, functional GGA-PBEsol.

Unit cell a=7.2701 b=7.2701 c=7.2701 alpha=109.47 beta=109.47 gamma=109.47
With the nearest neighbours (Å) after each atom.
Fractional coordinates of all 5 atoms:
1 K 0.0000 0.0000 0.5000  2 In 3.64
2 K 0.0000 0.5000 0.0000  2 In 3.64
3 K 0.5000 0.0000 0.0000  2 In 3.64
4 K 0.5000 0.5000 0.5000  2 In 3.64
5 In 0.0000 0.0000 0.0000  8 K 3.64

## Properties
For the total energy, the calculation gives -0.05226 Ha/atom.